1.
Crystalline Ac6GaAu5 at its relaxed geometry, computed with PBE-GGA.

Properties
Crystal system = monoclinic
Density of states at the Fermi level = 13.679 states/eV per cell
Total magnetization = 0.0 μB per formula unit
Formation energy = -0.723 eV per atom
Final energy = -105.473 eV/cell

a = 9.603 Å, b = 16.603 Å, c = 5.514 Å
α = 90.00°, β = 124.97°, γ = 90.00°
Space group C2/m (No. 12)
One atom of each set of equivalent atoms:
Ac1 0.246 0.000 0.246 [4 per cell]
Ac2 0.249 0.168 0.749 [8 per cell]
Ga1 0.000 0.500 0.000 [2 per cell]
Au1 0.000 0.000 0.500 [2 per cell]
Au2 0.000 0.167 0.000 [4 per cell]
Au3 0.000 0.340 0.500 [4 per cell]

---

2.
Crystalline Ac2Ga4Au3 at its relaxed geometry, computed with PBE-GGA.

Properties
Crystal system = orthorhombic
Density of states at the Fermi level = 20.998 states/eV per cell
Total magnetization = 0.0 μB per formula unit
Formation energy = -0.557 eV per atom
Final energy = -140.681 eV/cell

a = 6.346 Å, b = 16.136 Å, c = 7.950 Å
α = 90.00°, β = 90.00°, γ = 90.00°
Space group Cmce (No. 64)
One atom of each set of equivalent atoms:
Ac1 0.000 0.116 0.086 [8 per cell]
Ga1 0.000 0.175 0.490 [8 per cell]
Ga2 0.250 0.054 0.750 [8 per cell]
Au1 0.000 0.000 0.500 [4 per cell]
Au2 0.250 0.221 0.750 [8 per cell]

---

3.
Crystalline AcGdGaAu at its relaxed geometry, computed with PBE-GGA.

Properties
Crystal system = cubic
Density of states at the Fermi level = 18.379 states/eV per cell
Total magnetization = 7.4 μB per formula unit
Formation energy = -0.601 eV per atom
Final energy = -107.592 eV/cell

a = 7.594 Å, b = 7.594 Å, c = 7.594 Å
α = 90.00°, β = 90.00°, γ = 90.00°
Space group F-43m (No. 216)
One atom of each set of equivalent atoms:
Ac1 0.000 0.000 0.000 [4 per cell]
Gd1 0.000 0.000 0.500 [4 per cell]
Ga1 0.250 0.250 0.250 [4 per cell]
Au1 0.250 0.250 0.750 [4 per cell]

---

4.
Crystalline AcGa2GeAu at its relaxed geometry, computed with PBE-GGA.

Properties
Crystal system = orthorhombic
Density of states at the Fermi level = 2.481 states/eV per cell
Total magnetization = 0.0 μB per formula unit
Formation energy = -0.565 eV per atom
Final energy = -41.764 eV/cell

a = 4.548 Å, b = 4.633 Å, c = 10.536 Å
α = 90.00°, β = 90.00°, γ = 90.00°
Space group Imm2 (No. 44)
One atom of each set of equivalent atoms:
Ac1 0.000 0.000 0.000 [2 per cell]
Ga1 0.000 0.000 0.625 [2 per cell]
Ga2 0.000 0.500 0.252 [2 per cell]
Ge1 0.000 0.000 0.383 [2 per cell]
Au1 0.000 0.500 0.746 [2 per cell]

---

5.
Crystalline Ac2GaGeAu6 at its relaxed geometry, computed with PBE-GGA.

Properties
Crystal system = triclinic
Density of states at the Fermi level = 5.586 states/eV per cell
Total magnetization = 0.0 μB per formula unit
Formation energy = -0.525 eV per atom
Final energy = -40.771 eV/cell

a = 5.627 Å, b = 7.127 Å, c = 7.133 Å
α = 77.79°, β = 66.81°, γ = 66.75°
Space group P-1 (No. 2)
One atom of each set of equivalent atoms:
Ac1 0.248 0.225 0.284 [2 per cell]
Ga1 0.000 0.000 0.000 [1 per cell]
Ge1 0.500 0.500 0.500 [1 per cell]
Au1 0.233 0.770 0.263 [2 per cell]
Au2 0.246 0.601 0.902 [2 per cell]
Au3 0.269 0.227 0.737 [2 per cell]

---

6.
Crystalline Ac2GaGe3Au4 at its relaxed geometry, computed with PBE-GGA.

Properties
Crystal system = tetragonal
Density of states at the Fermi level = 3.731 states/eV per cell
Total magnetization = 0.0 μB per formula unit
Formation energy = -0.638 eV per atom
Final energy = -44.580 eV/cell

a = 4.574 Å, b = 4.574 Å, c = 10.710 Å
α = 90.00°, β = 90.00°, γ = 90.00°
Space group P-4m2 (No. 115)
One atom of each set of equivalent atoms:
Ac1 0.000 0.500 0.246 [2 per cell]
Ga1 0.000 0.000 0.500 [1 per cell]
Ge1 0.000 0.500 0.868 [2 per cell]
Ge2 0.500 0.500 0.500 [1 per cell]
Au1 0.000 0.000 0.000 [1 per cell]
Au2 0.000 0.500 0.628 [2 per cell]
Au3 0.500 0.500 0.000 [1 per cell]

---

7.
Crystalline Ac3Ga2GeAu6 at its relaxed geometry, computed with PBE-GGA.

Properties
Crystal system = trigonal
Density of states at the Fermi level = 6.011 states/eV per cell
Total magnetization = 0.0 μB per formula unit
Formation energy = -0.533 eV per atom
Final energy = -49.061 eV/cell

a = 6.5291 Å, b = 6.5291 Å, c = 8.4204 Å
α = 90.00°, β = 90.00°, γ = 120.00°
Space group P-3m1 (No. 164)
One atom of each set of equivalent atoms:
Ac1 0.0000 0.0000 0.0000 [1 per cell]
Ac2 0.3333 0.6667 0.6498 [2 per cell]
Ga1 0.3333 0.6667 0.0516 [2 per cell]
Ge1 0.0000 0.0000 0.5000 [1 per cell]
Au1 0.1805 0.3610 0.2945 [6 per cell]

---

8.
Crystalline Ac2Ga4GeAu3 at its relaxed geometry, computed with PBE-GGA.

Properties
Crystal system = tetragonal
Density of states at the Fermi level = 3.669 states/eV per cell
Total magnetization = 0.0 μB per formula unit
Formation energy = -0.653 eV per atom
Final energy = -41.308 eV/cell

a = 4.595 Å, b = 4.595 Å, c = 10.561 Å
α = 90.00°, β = 90.00°, γ = 90.00°
Space group P-4m2 (No. 115)
One atom of each set of equivalent atoms:
Ac1 0.000 0.500 0.248 [2 per cell]
Ga1 0.000 0.000 0.500 [1 per cell]
Ga2 0.000 0.500 0.872 [2 per cell]
Ga3 0.500 0.500 0.500 [1 per cell]
Ge1 0.500 0.500 0.000 [1 per cell]
Au1 0.000 0.000 0.000 [1 per cell]
Au2 0.000 0.500 0.628 [2 per cell]

---

9.
Crystalline AcGaGeAu at its relaxed geometry, computed with PBE-GGA.

Properties
Crystal system = cubic
Density of states at the Fermi level = 9.428 states/eV per cell
Total magnetization = 0.0 μB per formula unit
Formation energy = -0.371 eV per atom
Final energy = -66.060 eV/cell

a = 7.291 Å, b = 7.291 Å, c = 7.291 Å
α = 90.00°, β = 90.00°, γ = 90.00°
Space group F-43m (No. 216)
One atom of each set of equivalent atoms:
Ac1 0.000 0.000 0.000 [4 per cell]
Ga1 0.250 0.250 0.250 [4 per cell]
Ge1 0.000 0.000 0.500 [4 per cell]
Au1 0.250 0.250 0.750 [4 per cell]

---

10.
Crystalline Ac3Ga6Ge2Au at its relaxed geometry, computed with PBE-GGA.

Properties
Crystal system = trigonal
Density of states at the Fermi level = 10.670 states/eV per cell
Total magnetization = 0.0 μB per formula unit
Formation energy = -0.313 eV per atom
Final energy = -46.753 eV/cell

a = 6.4215 Å, b = 6.4215 Å, c = 8.4717 Å
α = 90.00°, β = 90.00°, γ = 120.00°
Space group P-3m1 (No. 164)
One atom of each set of equivalent atoms:
Ac1 0.0000 0.0000 0.0000 [1 per cell]
Ac2 0.3333 0.6667 0.6684 [2 per cell]
Ga1 0.1945 0.3890 0.3134 [6 per cell]
Ge1 0.3333 0.6667 0.0506 [2 per cell]
Au1 0.0000 0.0000 0.5000 [1 per cell]

---

11.
Crystalline Ac2Ga3HgAu4 at its relaxed geometry, computed with PBE-GGA.

Properties
Crystal system = tetragonal
Density of states at the Fermi level = 5.277 states/eV per cell
Total magnetization = 0.0 μB per formula unit
Formation energy = -0.609 eV per atom
Final energy = -36.799 eV/cell

a = 4.638 Å, b = 4.638 Å, c = 10.815 Å
α = 90.00°, β = 90.00°, γ = 90.00°
Space group P-4m2 (No. 115)
One atom of each set of equivalent atoms:
Ac1 0.000 0.500 0.244 [2 per cell]
Ga1 0.000 0.500 0.881 [2 per cell]
Ga2 0.500 0.500 0.500 [1 per cell]
Hg1 0.000 0.000 0.500 [1 per cell]
Au1 0.000 0.000 0.000 [1 per cell]
Au2 0.000 0.500 0.646 [2 per cell]
Au3 0.500 0.500 0.000 [1 per cell]

---

12.
Crystalline Ac2Ga4HgAu3 at its relaxed geometry, computed with PBE-GGA.

Properties
Crystal system = tetragonal
Density of states at the Fermi level = 6.211 states/eV per cell
Total magnetization = 0.0 μB per formula unit
Formation energy = -0.615 eV per atom
Final energy = -36.605 eV/cell

a = 4.605 Å, b = 4.605 Å, c = 10.742 Å
α = 90.00°, β = 90.00°, γ = 90.00°
Space group P-4m2 (No. 115)
One atom of each set of equivalent atoms:
Ac1 0.000 0.500 0.248 [2 per cell]
Ga1 0.000 0.000 0.000 [1 per cell]
Ga2 0.000 0.500 0.638 [2 per cell]
Ga3 0.500 0.500 0.000 [1 per cell]
Hg1 0.000 0.000 0.500 [1 per cell]
Au1 0.000 0.500 0.877 [2 per cell]
Au2 0.500 0.500 0.500 [1 per cell]

---

13.
Crystalline Ac2Ga4Hg3Au at its relaxed geometry, computed with PBE-GGA.

Properties
Crystal system = tetragonal
Density of states at the Fermi level = 3.599 states/eV per cell
Total magnetization = 0.0 μB per formula unit
Formation energy = -0.450 eV per atom
Final energy = -29.007 eV/cell

a = 4.663 Å, b = 4.663 Å, c = 11.052 Å
α = 90.00°, β = 90.00°, γ = 90.00°
Space group P-4m2 (No. 115)
One atom of each set of equivalent atoms:
Ac1 0.000 0.500 0.244 [2 per cell]
Ga1 0.000 0.000 0.500 [1 per cell]
Ga2 0.000 0.500 0.875 [2 per cell]
Ga3 0.500 0.500 0.500 [1 per cell]
Hg1 0.000 0.000 0.000 [1 per cell]
Hg2 0.000 0.500 0.635 [2 per cell]
Au1 0.500 0.500 0.000 [1 per cell]

---

14.
Crystalline AcHoGaAu at its relaxed geometry, computed with PBE-GGA.

Properties
Crystal system = cubic
Density of states at the Fermi level = 11.008 states/eV per cell
Total magnetization = 0.0 μB per formula unit
Formation energy = -0.586 eV per atom
Final energy = -69.333 eV/cell

a = 7.554 Å, b = 7.554 Å, c = 7.554 Å
α = 90.00°, β = 90.00°, γ = 90.00°
Space group F-43m (No. 216)
One atom of each set of equivalent atoms:
Ac1 0.000 0.000 0.000 [4 per cell]
Ho1 0.000 0.000 0.500 [4 per cell]
Ga1 0.250 0.250 0.750 [4 per cell]
Au1 0.250 0.250 0.250 [4 per cell]

---

15.
Crystalline AcGaAuI at its relaxed geometry, computed with PBE-GGA.

Properties
Crystal system = trigonal
Density of states at the Fermi level = 12.389 states/eV per cell
Energy relative to the elements, uncorrected = -0.89 eV per atom
Total magnetization = 0.0 μB per formula unit
Final energy = -93.199 eV/cell

a = 4.6137 Å, b = 4.6137 Å, c = 44.5017 Å
α = 90.00°, β = 90.00°, γ = 120.00°
Space group R-3m (No. 166, hexagonal axes)
One atom of each set of equivalent atoms:
Ac1 0.0000 0.0000 0.0745 [6 per cell]
Ga1 0.0000 0.0000 0.3091 [6 per cell]
Au1 0.0000 0.0000 0.3676 [6 per cell]
I1 0.0000 0.0000 0.2095 [6 per cell]

---

16.
Crystalline Ac8Ga3AuI4 at its relaxed geometry, computed with PBE-GGA.

Properties
Crystal system = trigonal
Density of states at the Fermi level = 51.737 states/eV per cell
Energy relative to the elements, uncorrected = -0.78 eV per atom
Total magnetization = 0.0 μB per formula unit
Final energy = -191.918 eV/cell

a = 9.4030 Å, b = 9.4030 Å, c = 23.9034 Å
α = 90.00°, β = 90.00°, γ = 120.00°
Space group R-3m (No. 166, hexagonal axes)
One atom of each set of equivalent atoms:
Ac1 0.0000 0.0000 0.2370 [6 per cell]
Ac2 0.0018 0.5009 0.7645 [18 per cell]
Ga1 0.0000 0.5000 0.5000 [9 per cell]
Au1 0.0000 0.0000 0.5000 [3 per cell]
I1 0.0000 0.0000 0.0000 [3 per cell]
I2 0.0000 0.5000 0.0000 [9 per cell]

---

17.
Crystalline Ac4GaAuI2 at its relaxed geometry, computed with PBE-GGA.

Properties
Crystal system = monoclinic
Density of states at the Fermi level = 8.273 states/eV per cell
Energy relative to the elements, uncorrected = -0.82 eV per atom
Total magnetization = 0.0 μB per formula unit
Final energy = -32.401 eV/cell

a = 8.265 Å, b = 4.581 Å, c = 8.458 Å
α = 90.00°, β = 107.66°, γ = 90.00°
Space group P2/m (No. 10)
One atom of each set of equivalent atoms:
Ac1 0.232 0.000 0.200 [2 per cell]
Ac2 0.264 0.500 0.789 [2 per cell]
Ga1 0.500 0.000 0.000 [1 per cell]
Au1 0.000 0.500 0.000 [1 per cell]
I1 0.000 0.000 0.500 [1 per cell]
I2 0.500 0.500 0.500 [1 per cell]

---

18.
Crystalline Ac3InGa2Au6 at its relaxed geometry, computed with PBE-GGA.

Properties
Crystal system = trigonal
Density of states at the Fermi level = 6.199 states/eV per cell
Total magnetization = 0.0 μB per formula unit
Formation energy = -0.552 eV per atom
Final energy = -47.409 eV/cell

a = 6.5260 Å, b = 6.5260 Å, c = 8.5845 Å
α = 90.00°, β = 90.00°, γ = 120.00°
Space group P-3m1 (No. 164)
One atom of each set of equivalent atoms:
Ac1 0.0000 0.0000 0.0000 [1 per cell]
Ac2 0.3333 0.6667 0.6400 [2 per cell]
In1 0.0000 0.0000 0.5000 [1 per cell]
Ga1 0.3333 0.6667 0.0312 [2 per cell]
Au1 0.1848 0.3696 0.2802 [6 per cell]

---

19.
Crystalline AcInGa2Au at its relaxed geometry, computed with PBE-GGA.

Properties
Crystal system = orthorhombic
Density of states at the Fermi level = 2.619 states/eV per cell
Total magnetization = 0.0 μB per formula unit
Formation energy = -0.580 eV per atom
Final energy = -38.156 eV/cell

a = 4.509 Å, b = 4.606 Å, c = 11.423 Å
α = 90.00°, β = 90.00°, γ = 90.00°
Space group Imm2 (No. 44)
One atom of each set of equivalent atoms:
Ac1 0.000 0.000 0.000 [2 per cell]
In1 0.000 0.500 0.757 [2 per cell]
Ga1 0.000 0.000 0.401 [2 per cell]
Ga2 0.000 0.500 0.257 [2 per cell]
Au1 0.000 0.000 0.624 [2 per cell]

---

20.
Crystalline Ac2InGaAu6 at its relaxed geometry, computed with PBE-GGA.

Properties
Crystal system = triclinic
Density of states at the Fermi level = 5.362 states/eV per cell
Total magnetization = 0.0 μB per formula unit
Formation energy = -0.522 eV per atom
Final energy = -38.868 eV/cell

a = 5.733 Å, b = 7.123 Å, c = 7.262 Å
α = 82.76°, β = 66.81°, γ = 66.45°
Space group P-1 (No. 2)
One atom of each set of equivalent atoms:
Ac1 0.033 0.220 0.218 [2 per cell]
In1 0.500 0.500 0.000 [1 per cell]
Ga1 0.500 0.000 0.500 [1 per cell]
Au1 0.011 0.226 0.753 [2 per cell]
Au2 0.349 0.403 0.409 [2 per cell]
Au3 0.495 0.776 0.241 [2 per cell]

---

21.
Crystalline AcIn2GaAu5 at its relaxed geometry, computed with PBE-GGA.

Properties
Crystal system = orthorhombic
Density of states at the Fermi level = 5.893 states/eV per cell
Total magnetization = 0.0 μB per formula unit
Formation energy = -0.315 eV per atom
Final energy = -63.672 eV/cell

a = 4.905 Å, b = 6.285 Å, c = 14.400 Å
α = 90.00°, β = 90.00°, γ = 90.00°
Space group Immm (No. 71)
One atom of each set of equivalent atoms:
Ac1 0.000 0.000 0.000 [2 per cell]
In1 0.000 0.500 0.195 [4 per cell]
Ga1 0.000 0.000 0.500 [2 per cell]
Au1 0.000 0.271 0.361 [8 per cell]
Au2 0.000 0.500 0.000 [2 per cell]

---

22.
Crystalline Ac2InGa3Au4 at its relaxed geometry, computed with PBE-GGA.

Properties
Crystal system = tetragonal
Density of states at the Fermi level = 5.684 states/eV per cell
Total magnetization = 0.0 μB per formula unit
Formation energy = -0.656 eV per atom
Final energy = -39.705 eV/cell

a = 4.631 Å, b = 4.631 Å, c = 10.806 Å
α = 90.00°, β = 90.00°, γ = 90.00°
Space group P-4m2 (No. 115)
One atom of each set of equivalent atoms:
Ac1 0.000 0.500 0.239 [2 per cell]
In1 0.000 0.000 0.500 [1 per cell]
Ga1 0.000 0.500 0.877 [2 per cell]
Ga2 0.500 0.500 0.500 [1 per cell]
Au1 0.000 0.000 0.000 [1 per cell]
Au2 0.000 0.500 0.641 [2 per cell]
Au3 0.500 0.500 0.000 [1 per cell]

---

23.
Crystalline AcInGaAu at its relaxed geometry, computed with PBE-GGA.

Properties
Crystal system = cubic
Density of states at the Fermi level = 6.907 states/eV per cell
Total magnetization = 0.0 μB per formula unit
Formation energy = -0.514 eV per atom
Final energy = -60.830 eV/cell

a = 7.410 Å, b = 7.410 Å, c = 7.410 Å
α = 90.00°, β = 90.00°, γ = 90.00°
Space group F-43m (No. 216)
One atom of each set of equivalent atoms:
Ac1 0.000 0.000 0.000 [4 per cell]
In1 0.000 0.000 0.500 [4 per cell]
Ga1 0.250 0.250 0.250 [4 per cell]
Au1 0.250 0.250 0.750 [4 per cell]